Density functional theory data (PBE with a Hubbard U) for a geometry-optimized LiTiNiF6 structure.

The calculation puts the offset from the most stable computed form at 39 meV/atom.

It has space group P-31c (No. 163), with a = 5.2039 Å, b = 5.2039 Å, c = 9.0325 Å, α = 90.00°, β = 90.00° and γ = 120.00°. Symmetry generates all atoms from Li at (0.0000, 0.0000, 0.0000), Ti at (0.3333, 0.6667, 0.2500), Ni at (0.3333, 0.6667, 0.7500) and F at (0.0053, 0.3464, 0.1317).